1.
VASP calculation (PBE) on an optimized crystal structure of Rb2NaTcI6.

Geometry as POSCAR:
```
Rb2NaTcI6
1.0
-2.973 1.619 7.585
-8.138 1.253 1.088
2.823 -7.594 -1.818
I Na Rb Tc
6 1 2 1
Direct
0.765 0.765 0.263 I
0.766 0.236 0.266 I
0.236 0.766 0.266 I
0.764 0.234 0.734 I
0.234 0.764 0.734 I
0.235 0.235 0.737 I
0.500 0.500 0.000 Na
0.250 0.250 0.251 Rb
0.750 0.750 0.749 Rb
0.000 0.000 0.500 Tc
```

Output
The value obtained for the total moment is 2.00 Bohr magnetons per cell.

---

2.
VASP calculation (PBE) on an optimized crystal structure of Na3TbI6.

Geometry as POSCAR:
```
Na3TbI6
1.0
-8.159 -0.450 2.488
-3.270 3.857 6.885
-5.563 6.480 -0.161
I Na Tb
6 3 1
Direct
0.761 0.390 0.093 I
0.610 0.907 0.239 I
0.093 0.761 0.390 I
0.907 0.239 0.610 I
0.390 0.093 0.761 I
0.239 0.610 0.907 I
0.180 0.180 0.180 Na
0.500 0.500 0.500 Na
0.820 0.820 0.820 Na
0.000 0.000 0.000 Tb
```

Output
The value obtained for the total moment is 0.01 Bohr magnetons per cell.

---

3.
VASP calculation (PBE) on an optimized crystal structure of NbI4.

Geometry as POSCAR:
```
NbI4
1.0
3.892 -7.023 0.000
3.892 7.023 0.000
0.000 0.000 14.876
I Nb
16 4
Direct
0.745 0.255 0.039 I
0.264 0.736 0.052 I
0.488 0.512 0.195 I
0.008 0.992 0.207 I
0.011 0.475 0.275 I
0.525 0.989 0.275 I
0.260 0.230 0.472 I
0.770 0.740 0.472 I
0.255 0.745 0.539 I
0.736 0.264 0.552 I
0.512 0.488 0.695 I
0.992 0.008 0.707 I
0.475 0.011 0.775 I
0.989 0.525 0.775 I
0.230 0.260 0.972 I
0.740 0.770 0.972 I
0.089 0.337 0.123 Nb
0.663 0.911 0.123 Nb
0.337 0.089 0.623 Nb
0.911 0.663 0.623 Nb
```

Output
The value obtained for the total moment is 0.01 Bohr magnetons per cell.

---

4.
VASP calculation (PBE) on an optimized crystal structure of Nb6SI9.

Geometry as POSCAR:
```
Nb6SI9
1.0
10.361 0.000 0.000
-4.166 9.999 0.000
-3.073 -4.974 10.487
I Nb S
18 12 2
Direct
0.179 0.315 0.056 I
0.760 0.052 0.097 I
0.371 0.749 0.119 I
0.574 0.348 0.215 I
0.991 0.584 0.227 I
0.142 0.005 0.264 I
0.677 0.055 0.423 I
0.458 0.642 0.429 I
0.104 0.330 0.464 I
0.896 0.670 0.536 I
0.542 0.358 0.571 I
0.323 0.945 0.577 I
0.858 0.995 0.736 I
0.009 0.416 0.773 I
0.426 0.652 0.785 I
0.629 0.251 0.881 I
0.240 0.948 0.903 I
0.821 0.685 0.944 I
0.613 0.741 0.044 Nb
0.678 0.515 0.071 Nb
0.483 0.562 0.188 Nb
0.894 0.021 0.324 Nb
0.017 0.853 0.410 Nb
0.764 0.843 0.468 Nb
0.236 0.157 0.532 Nb
0.983 0.147 0.590 Nb
0.106 0.979 0.676 Nb
0.517 0.438 0.812 Nb
0.322 0.485 0.929 Nb
0.387 0.259 0.956 Nb
0.737 0.759 0.251 S
0.263 0.241 0.749 S
```

Output
The value obtained for the total moment is 0.00 Bohr magnetons per cell.

---

5.
VASP calculation (PBE) on an optimized crystal structure of SmNbSbI2.

Geometry as POSCAR:
```
SmNbSbI2
1.0
4.350 0.000 0.000
-2.175 3.767 0.000
0.000 0.000 10.464
I Nb Sb Sm
2 1 1 1
Direct
0.333 0.667 0.334 I
0.667 0.333 0.691 I
0.333 0.667 0.857 Nb
0.000 0.000 0.976 Sb
0.667 0.333 0.143 Sm
```

Output
The value obtained for the total moment is 1.95 Bohr magnetons per cell.

---

6.
VASP calculation (PBE) on an optimized crystal structure of TmNbSbI2.

Geometry as POSCAR:
```
TmNbSbI2
1.0
4.225 0.000 0.000
-2.112 3.659 0.000
0.000 0.000 10.401
I Nb Sb Tm
2 1 1 1
Direct
0.333 0.667 0.329 I
0.667 0.333 0.686 I
0.333 0.667 0.858 Nb
0.000 0.000 0.985 Sb
0.667 0.333 0.142 Tm
```

Output
The value obtained for the total moment is 0.88 Bohr magnetons per cell.

---

no.,electronic total energy (eV per atom)
1,-3.081
2,-3.085
3,-3.701
4,-5.465
5,-5.034
6,-4.923